Material: Ag4I3Cl2
Method: DFT, PBE
State: relaxed

Values from the calculation:
Volume, Å³ per cell: 643
M_tot, Bohr magnetons per cell: 0.0
Uncorrected formation energy, meV per atom: -277

Cell and atoms, written as POSCAR:
```
Ag4I3Cl2
1.0
-5.891 4.175 1.339
-0.661 -9.007 3.574
6.697 4.857 6.534
Ag I Cl
8 6 4
Direct
0.654 0.101 0.768
0.043 0.322 0.968
0.346 0.899 0.232
0.957 0.678 0.032
0.001 0.851 0.668
0.556 0.317 0.214
0.999 0.149 0.332
0.444 0.683 0.786
0.025 0.158 0.692
0.659 0.350 0.973
0.975 0.842 0.308
0.341 0.650 0.027
0.354 0.401 0.562
0.646 0.599 0.438
0.341 0.840 0.648
0.156 0.203 0.136
0.659 0.160 0.352
0.844 0.797 0.864
```